(1)
VASP calculation (PBE) on a geometry-optimized TaTi2Be2Rh5 structure.

a = 9.1383 Å, b = 9.1383 Å, c = 3.3146 Å
α = 90.00°, β = 90.00°, γ = 90.00°
Space group P4/mbm (No. 127)
Asymmetric unit:
Ta 0.0000 0.0000 0.0000 [2 per cell]
Ti 0.1729 0.3271 0.0000 [4 per cell]
Be 0.1208 0.6208 0.0000 [4 per cell]
Rh 0.0000 0.5000 0.5000 [2 per cell]
Rh 0.0744 0.7893 0.5000 [8 per cell]

Values from the calculation:
**Magnetization**: 0.00 Bohr magnetons per cell
**VASP energy**: -7.855 eV/atom
**V**: 13.84 A^3/atom


(2)
VASP calculation (PBE) on a geometry-optimized Ta2TiBe2Rh5 structure.

a = 9.4723 Å, b = 9.4723 Å, c = 3.0415 Å
α = 90.00°, β = 90.00°, γ = 90.00°
Space group P4/mbm (No. 127)
Asymmetric unit:
Ta 0.1761 0.3239 0.0000 [4 per cell]
Ti 0.0000 0.0000 0.0000 [2 per cell]
Be 0.1233 0.6233 0.0000 [4 per cell]
Rh 0.0000 0.5000 0.5000 [2 per cell]
Rh 0.0674 0.7909 0.5000 [8 per cell]

Values from the calculation:
**Magnetization**: 0.00 Bohr magnetons per cell
**VASP energy**: -8.219 eV/atom
**V**: 13.65 A^3/atom


(3)
VASP calculation (PBE) on a geometry-optimized TaBe2RhW structure.

a = 4.3610 Å, b = 4.3610 Å, c = 4.6848 Å
α = 90.00°, β = 90.00°, γ = 90.00°
Space group P4/mmm (No. 123)
Asymmetric unit:
Ta 0.0000 0.0000 0.0000 [1 per cell]
Be 0.0000 0.5000 0.0000 [2 per cell]
Rh 0.5000 0.5000 0.5000 [1 per cell]
W 0.0000 0.0000 0.5000 [1 per cell]

Values from the calculation:
**Magnetization**: 0.00 Bohr magnetons per cell
**VASP energy**: -6.067 eV/atom
**V**: 17.82 A^3/atom


(4)
VASP calculation (PBE) on a geometry-optimized Tb2Be9Rh6 structure.

a = 5.1953 Å, b = 5.1953 Å, c = 10.3199 Å
α = 90.00°, β = 90.00°, γ = 120.00°
Space group P6/mmm (No. 191)
Asymmetric unit:
Tb 0.0000 0.0000 0.1930 [2 per cell]
Be 0.0000 0.5000 0.0000 [3 per cell]
Be 0.0000 0.5000 0.3393 [6 per cell]
Rh 0.3333 0.6667 0.1717 [4 per cell]
Rh 0.3333 0.6667 0.5000 [2 per cell]

Values from the calculation:
**Magnetization**: 0.00 Bohr magnetons per cell
**VASP energy**: -5.524 eV/atom
**V**: 14.19 A^3/atom


(5)
VASP calculation (PBE) on a geometry-optimized TbBeRh2 structure.

a = 3.9800 Å, b = 3.9800 Å, c = 14.5971 Å
α = 90.00°, β = 90.00°, γ = 120.00°
Space group R-3m (No. 166, hexagonal axes)
Asymmetric unit:
Tb 0.0000 0.0000 0.0000 [3 per cell]
Be 0.0000 0.0000 0.5000 [3 per cell]
Rh 0.0000 0.0000 0.2150 [6 per cell]

Values from the calculation:
**Magnetization**: 0.00 Bohr magnetons per cell
**VASP energy**: -6.275 eV/atom
**V**: 16.69 A^3/atom


(6)
VASP calculation (PBE) on a geometry-optimized Tb3BeRh2 structure.

a = 11.2463 Å, b = 3.9191 Å, c = 11.6538 Å
α = 90.00°, β = 90.00°, γ = 90.00°
Space group Pnma (No. 62)
Asymmetric unit:
Tb 0.0628 0.2500 0.1208 [4 per cell]
Tb 0.1240 0.7500 0.5558 [4 per cell]
Tb 0.2020 0.2500 0.8028 [4 per cell]
Be 0.1250 0.2500 0.3681 [4 per cell]
Rh 0.0313 0.7500 0.3179 [4 per cell]
Rh 0.1938 0.7500 0.9775 [4 per cell]

Values from the calculation:
**Magnetization**: 0.00 Bohr magnetons per cell
**VASP energy**: -6.031 eV/atom
**V**: 21.40 A^3/atom


(7)
VASP calculation (PBE) on a geometry-optimized TbBeRh3 structure.

a = 4.2610 Å, b = 4.2610 Å, c = 4.2610 Å
α = 90.00°, β = 90.00°, γ = 90.00°
Space group Pm-3m (No. 221)
Asymmetric unit:
Tb 0.0000 0.0000 0.0000 [1 per cell]
Be 0.5000 0.5000 0.5000 [1 per cell]
Rh 0.0000 0.5000 0.5000 [3 per cell]

Values from the calculation:
**Magnetization**: 0.00 Bohr magnetons per cell
**VASP energy**: -6.664 eV/atom
**V**: 15.47 A^3/atom


(8)
VASP calculation (PBE) on a geometry-optimized Tb2Be4Rh5 structure.

a = 5.6951 Å, b = 9.3766 Å, c = 12.3124 Å
α = 90.00°, β = 90.00°, γ = 90.00°
Space group Fmmm (No. 69)
Asymmetric unit:
Tb 0.0000 0.0000 0.1367 [8 per cell]
Be 0.0000 0.1607 0.3698 [16 per cell]
Rh 0.0000 0.0000 0.5000 [4 per cell]
Rh 0.2500 0.2500 0.0000 [8 per cell]
Rh 0.2500 0.2500 0.2500 [8 per cell]

Values from the calculation:
**Magnetization**: 0.00 Bohr magnetons per cell
**VASP energy**: -6.199 eV/atom
**V**: 14.94 A^3/atom


(9)
VASP calculation (PBE) on a geometry-optimized TbBe3Rh3 structure.

a = 5.9984 Å, b = 5.9984 Å, c = 5.9984 Å
α = 90.00°, β = 90.00°, γ = 90.00°
Space group Pm-3n (No. 223)
Asymmetric unit:
Tb 0.0000 0.0000 0.0000 [2 per cell]
Be 0.0000 0.2500 0.5000 [6 per cell]
Rh 0.0000 0.5000 0.2500 [6 per cell]

Values from the calculation:
**Magnetization**: 0.00 Bohr magnetons per cell
**VASP energy**: -5.668 eV/atom
**V**: 15.42 A^3/atom


(10)
VASP calculation (PBE) on a geometry-optimized TbBe17Rh structure.

a = 7.5293 Å, b = 7.5293 Å, c = 10.8680 Å
α = 90.00°, β = 90.00°, γ = 120.00°
Space group R3m (No. 160, hexagonal axes)
Asymmetric unit:
Tb 0.0000 0.0000 0.0000 [3 per cell]
Be 0.0000 0.0000 0.2509 [3 per cell]
Be 0.0000 0.0000 0.4450 [3 per cell]
Be 0.0084 0.2957 0.3452 [18 per cell]
Be 0.0095 0.5048 0.4979 [9 per cell]
Be 0.0110 0.5055 0.8423 [9 per cell]
Be 0.0211 0.5106 0.1953 [9 per cell]
Rh 0.0000 0.0000 0.6704 [3 per cell]

Values from the calculation:
**Magnetization**: 0.00 Bohr magnetons per cell
**VASP energy**: -4.085 eV/atom
**V**: 9.36 A^3/atom


(11)
VASP calculation (PBE) on a geometry-optimized TbTmBeRh structure.

a = 6.8210 Å, b = 6.8210 Å, c = 6.8210 Å
α = 90.00°, β = 90.00°, γ = 90.00°
Space group F-43m (No. 216)
Asymmetric unit:
Tb 0.0000 0.0000 0.0000 [4 per cell]
Tm 0.0000 0.0000 0.5000 [4 per cell]
Be 0.2500 0.2500 0.7500 [4 per cell]
Rh 0.2500 0.2500 0.2500 [4 per cell]

Values from the calculation:
**Magnetization**: 0.00 Bohr magnetons per cell
**VASP energy**: -5.438 eV/atom
**V**: 19.83 A^3/atom


(12)
VASP calculation (PBE) on a geometry-optimized TbYBeRh structure.

a = 6.8828 Å, b = 6.8828 Å, c = 6.8828 Å
α = 90.00°, β = 90.00°, γ = 90.00°
Space group F-43m (No. 216)
Asymmetric unit:
Tb 0.0000 0.0000 0.0000 [4 per cell]
Y 0.0000 0.0000 0.5000 [4 per cell]
Be 0.2500 0.2500 0.2500 [4 per cell]
Rh 0.2500 0.2500 0.7500 [4 per cell]

Values from the calculation:
**Magnetization**: 0.00 Bohr magnetons per cell
**VASP energy**: -5.903 eV/atom
**V**: 20.38 A^3/atom


Among the records above, which one has the highest V? Tb3BeRh2


Which value of magnetization does entry 10 give? 0.00 Bohr magnetons per cell